Material: YScCr
Method: DFT, GGA-PBEsol
State: optimized geometry

abc: 3.327 3.327 11.748
angles: 90.00 90.00 90.00
Space group I4mm (No. 107)
Inequivalent atoms, fractional coordinates:
Y1 0.000 0.000 0.000 [2 per cell]
Sc1 0.000 0.000 0.277 [2 per cell]
Cr1 0.000 0.000 0.651 [2 per cell]

Output
Formation energy = 0.3264 eV/atom
Total magnetic moment = 0.63 μB per atom
Offset from the most stable computed form = 0 meV/atom
Energy = -45.38 eV per cell



Material: LaHg2Au
Method: DFT, GGA-PBEsol
State: optimized geometry

abc: 4.368 4.368 5.051
angles: 90.00 90.00 90.00
Space group P4/mmm (No. 123)
Inequivalent atoms, fractional coordinates:
La1 0.000 0.000 0.000 [1 per cell]
Hg1 0.000 0.500 0.500 [2 per cell]
Au1 0.500 0.500 0.000 [1 per cell]

Output
Formation energy = -0.4523 eV/atom
Total magnetic moment = 0.00 μB per atom
Energy = -12.21 eV per cell



Material: La2RhCl
Method: DFT, GGA-PBEsol
State: optimized geometry

abc: 7.063 7.350 3.446
angles: 90.00 90.00 90.00
Space group Cmmm (No. 65)
Inequivalent atoms, fractional coordinates:
La1 0.250 0.250 0.000 [4 per cell]
Rh1 0.000 0.000 0.500 [2 per cell]
Cl1 0.000 0.500 0.500 [2 per cell]

Output
Total magnetic moment = 0.00 μB per atom
Offset from the most stable computed form = 304 meV/atom
Energy = -49.10 eV per cell
Energy relative to the elements, uncorrected = -3.7 eV/f.u.



Material: SnCSO2
Method: DFT, GGA-PBEsol
State: optimized geometry

abc: 3.671 3.671 3.918
angles: 90.00 90.00 90.00
Space group P4/mmm (No. 123)
Inequivalent atoms, fractional coordinates:
Sn1 0.000 0.000 0.000 [1 per cell]
C1 0.500 0.500 0.500 [1 per cell]
S1 0.500 0.500 0.000 [1 per cell]
O1 0.000 0.500 0.500 [2 per cell]

Output
Total magnetic moment = 0.00 μB per atom
Energy = -26.41 eV per cell
Energy relative to the elements, uncorrected = 2.4 eV/f.u.



Material: Li2CuAg
Method: DFT, GGA-PBEsol
State: optimized geometry

abc: 3.824 3.824 7.532
angles: 90.00 90.00 90.00
Space group I4/mmm (No. 139)
Inequivalent atoms, fractional coordinates:
Li1 0.000 0.500 0.250 [4 per cell]
Cu1 0.000 0.000 0.000 [2 per cell]
Ag1 0.000 0.000 0.500 [2 per cell]

Output
Formation energy = -0.0606 eV/atom
Total magnetic moment = 0.00 μB per atom
Energy = -23.64 eV per cell



Material: ErCoC6N6
Method: DFT, GGA-PBEsol
State: optimized geometry

abc: 7.3289 7.3289 12.8500
angles: 90.00 90.00 120.00
Space group P6_3/mmc (No. 194)
Inequivalent atoms, fractional coordinates:
Er1 0.3333 0.6667 0.2500 [2 per cell]
Co1 0.0000 0.0000 0.0000 [2 per cell]
C1 0.1181 0.2362 0.0833 [12 per cell]
N1 0.1922 0.3844 0.1374 [12 per cell]

Output
Total magnetic moment = 0.00 μB per atom
Energy = -245.65 eV per cell
Energy relative to the elements, uncorrected = -1.1 eV/f.u.



Material: LiY2Cd
Method: DFT, GGA-PBEsol
State: optimized geometry

abc: 3.4590 3.4590 30.9847
angles: 90.00 90.00 120.00
Space group R-3m (No. 166, hexagonal axes)
Inequivalent atoms, fractional coordinates:
Li1 0.0000 0.0000 0.0000 [3 per cell]
Y1 0.0000 0.0000 0.2463 [6 per cell]
Cd1 0.0000 0.0000 0.5000 [3 per cell]

Output
Formation energy = 0.0251 eV/atom
Total magnetic moment = 0.00 μB per atom
Offset from the most stable computed form = 179 meV/atom
Energy = -50.12 eV per cell



Material: Fe2CoNi
Method: DFT, GGA-PBEsol
State: optimized geometry

abc: 2.412 3.944 4.637
angles: 90.00 100.34 90.00
Space group Pm (No. 6)
Inequivalent atoms, fractional coordinates:
Fe1 0.000 0.000 0.000 [1 per cell]
Fe2 0.225 0.500 0.736 [1 per cell]
Co1 0.466 0.000 0.503 [1 per cell]
Ni1 0.742 0.500 0.235 [1 per cell]

Output
Formation energy = 0.0530 eV/atom
Total magnetic moment = 1.86 μB per atom
Offset from the most stable computed form = 37 meV/atom
Energy = -31.61 eV per cell



Material: LiZrBr2
Method: DFT, GGA-PBEsol
State: optimized geometry

abc: 5.356 3.418 9.607
angles: 90.00 90.00 90.00
Space group Amm2 (No. 38)
Inequivalent atoms, fractional coordinates:
Li1 0.000 0.000 0.000 [2 per cell]
Zr1 0.500 0.000 0.368 [2 per cell]
Br1 0.000 0.000 0.308 [2 per cell]
Br2 0.500 0.000 0.648 [2 per cell]

Output
Total magnetic moment = 0.00 μB per atom
Energy = -35.47 eV per cell
Energy relative to the elements, uncorrected = -2.9 eV/f.u.



Material: NbSb2H
Method: DFT, GGA-PBEsol
State: optimized geometry

abc: 6.486 6.486 6.526
angles: 90.00 90.00 90.00
Space group I-42d (No. 122)
Inequivalent atoms, fractional coordinates:
Nb1 0.000 0.000 0.000 [4 per cell]
Sb1 0.165 0.250 0.625 [8 per cell]
H1 0.000 0.000 0.500 [4 per cell]

Output
Total magnetic moment = 0.00 μB per atom
Energy = -88.08 eV per cell



Material: Sr3AgAs
Method: DFT, GGA-PBEsol
State: optimized geometry

abc: 5.870 5.870 5.870
angles: 90.00 90.00 90.00
Space group Pm-3m (No. 221)
Inequivalent atoms, fractional coordinates:
Sr1 0.000 0.000 0.500 [3 per cell]
Ag1 0.500 0.500 0.500 [1 per cell]
As1 0.000 0.000 0.000 [1 per cell]

Output
Formation energy = -0.3595 eV/atom
Total magnetic moment = 0.00 μB per atom
Energy = -15.74 eV per cell



Material: Zr2Co2Cu
Method: DFT, GGA-PBEsol
State: optimized geometry

abc: 3.402 3.402 13.842
angles: 90.00 90.00 90.00
Space group I4/mmm (No. 139)
Inequivalent atoms, fractional coordinates:
Zr1 0.000 0.000 0.114 [4 per cell]
Co1 0.000 0.500 0.250 [4 per cell]
Cu1 0.000 0.000 0.500 [2 per cell]

Output
Formation energy = 0.0954 eV/atom
Total magnetic moment = 0.00 μB per atom
Offset from the most stable computed form = 337 meV/atom
Energy = -75.02 eV per cell



Material: CdCl2
Method: DFT, GGA-PBEsol
State: optimized geometry

abc: 3.772 16.996 5.356
angles: 90.00 90.00 90.00
Space group Cmcm (No. 63)
Inequivalent atoms, fractional coordinates:
Cd1 0.000 0.175 0.250 [4 per cell]
Cl1 0.000 0.210 0.750 [4 per cell]
Cl2 0.000 0.420 0.750 [4 per cell]

Output
Total magnetic moment = 0.00 μB per atom
Energy = -33.04 eV per cell
Energy relative to the elements, uncorrected = -3.0 eV/f.u.



Material: Li7Cr2O8
Method: DFT, GGA-PBEsol
State: optimized geometry

abc: 5.128 5.148 7.619
angles: 70.96 82.90 66.99
Space group P1 (No. 1)
Inequivalent atoms, fractional coordinates:
Li1 0.000 0.000 0.000 [1 per cell]
Li2 0.001 0.089 0.633 [1 per cell]
Li3 0.448 0.168 0.396 [1 per cell]
Li4 0.473 0.100 0.736 [1 per cell]
Li5 0.486 0.825 0.181 [1 per cell]
Li6 0.935 0.513 0.761 [1 per cell]
Li7 0.954 0.366 0.196 [1 per cell]
Cr1 0.012 0.753 0.418 [1 per cell]
Cr2 0.432 0.453 0.954 [1 per cell]
O1 0.176 0.388 0.555 [1 per cell]
O2 0.193 0.279 0.984 [1 per cell]
O3 0.210 0.973 0.357 [1 per cell]
O4 0.274 0.818 0.833 [1 per cell]
O5 0.553 0.429 0.163 [1 per cell]
O6 0.705 0.270 0.825 [1 per cell]
O7 0.766 0.908 0.572 [1 per cell]
O8 0.873 0.757 0.220 [1 per cell]

Output
Total magnetic moment = 0.18 μB per atom
Energy = -109.90 eV per cell
Energy relative to the elements, uncorrected = -33.7 eV/f.u.



Material: Ca3TaBe
Method: DFT, GGA-PBEsol
State: optimized geometry

abc: 5.472 5.472 5.472
angles: 90.00 90.00 90.00
Space group Pm-3m (No. 221)
Inequivalent atoms, fractional coordinates:
Ca1 0.000 0.000 0.500 [3 per cell]
Ta1 0.000 0.000 0.000 [1 per cell]
Be1 0.500 0.500 0.500 [1 per cell]

Output
Formation energy = 1.4846 eV/atom
Total magnetic moment = 0.00 μB per atom
Energy = -15.53 eV per cell



Material: RbMoO3
Method: DFT, GGA-PBEsol
State: optimized geometry

abc: 4.262 4.262 4.262
angles: 90.00 90.00 90.00
Space group Pm-3m (No. 221)
Inequivalent atoms, fractional coordinates:
Rb1 0.000 0.000 0.000 [1 per cell]
Mo1 0.500 0.500 0.500 [1 per cell]
O1 0.000 0.000 0.500 [3 per cell]

Output
Total magnetic moment = 0.70 μB per atom
Energy = -21.15 eV per cell
Energy relative to the elements, uncorrected = 7.4 eV/f.u.



Material: RePbW2
Method: DFT, GGA-PBEsol
State: optimized geometry

abc: 3.217 4.665 9.462
angles: 90.00 90.00 90.00
Space group Cmm2 (No. 35)
Inequivalent atoms, fractional coordinates:
Re1 0.000 0.000 0.000 [2 per cell]
Pb1 0.000 0.500 0.716 [2 per cell]
W1 0.000 0.000 0.442 [2 per cell]
W2 0.000 0.500 0.216 [2 per cell]

Output
Formation energy = 0.7260 eV/atom
Total magnetic moment = 0.00 μB per atom
Energy = -84.08 eV per cell



Material: Th3N4
Method: DFT, GGA-PBEsol
State: optimized geometry

abc: 3.8562 3.8562 26.9393
angles: 90.00 90.00 120.00
Space group R-3m (No. 166, hexagonal axes)
Inequivalent atoms, fractional coordinates:
Th1 0.0000 0.0000 0.0000 [3 per cell]
Th2 0.0000 0.0000 0.2223 [6 per cell]
N1 0.0000 0.0000 0.1324 [6 per cell]
N2 0.0000 0.0000 0.3771 [6 per cell]

Output
Total magnetic moment = 0.00 μB per atom
Energy = -211.67 eV per cell
Energy relative to the elements, uncorrected = -12.1 eV/f.u.



Material: Y2H2Pb
Method: DFT, GGA-PBEsol
State: optimized geometry

abc: 3.958 3.958 10.694
angles: 90.00 90.00 90.00
Space group I4/mmm (No. 139)
Inequivalent atoms, fractional coordinates:
Y1 0.000 0.000 0.155 [4 per cell]
H1 0.000 0.500 0.250 [4 per cell]
Pb1 0.000 0.000 0.500 [2 per cell]

Output
Total magnetic moment = 0.00 μB per atom
Energy = -55.63 eV per cell



Material: SrPb2Br
Method: DFT, GGA-PBEsol
State: optimized geometry

abc: 6.186 6.288 6.721
angles: 90.00 90.00 90.00
Space group Cmmm (No. 65)
Inequivalent atoms, fractional coordinates:
Sr1 0.000 0.000 0.000 [2 per cell]
Pb1 0.000 0.242 0.500 [4 per cell]
Br1 0.000 0.500 0.000 [2 per cell]

Output
Total magnetic moment = 0.00 μB per atom
Energy = -28.81 eV per cell
Energy relative to the elements, uncorrected = -2.7 eV/f.u.



Material: Cs2CuH8Se2O12
Method: DFT, GGA-PBEsol
State: optimized geometry

abc: 7.448 7.941 11.814
angles: 90.00 110.28 90.00
Space group P2_1/c (No. 14)
Inequivalent atoms, fractional coordinates:
Cs1 0.215 0.117 0.259 [4 per cell]
Cu1 0.500 0.000 0.000 [2 per cell]
H1 0.173 0.229 0.983 [4 per cell]
H2 0.233 0.662 0.367 [4 per cell]
H3 0.314 0.547 0.278 [4 per cell]
H4 0.328 0.146 0.569 [4 per cell]
Se1 0.235 0.714 0.069 [4 per cell]
O1 0.058 0.724 0.614 [4 per cell]
O2 0.160 0.677 0.921 [4 per cell]
O3 0.283 0.547 0.355 [4 per cell]
O4 0.312 0.240 0.032 [4 per cell]
O5 0.338 0.541 0.146 [4 per cell]
O6 0.403 0.634 0.607 [4 per cell]

Output
Total magnetic moment = 0.04 μB per atom
Energy = -259.62 eV per cell



Material: Ti2Sb2O7
Method: DFT, GGA-PBEsol
State: optimized geometry

abc: 7.847 5.533 12.923
angles: 90.00 98.77 90.00
Space group P2_1 (No. 4)
Inequivalent atoms, fractional coordinates:
Ti1 0.023 0.000 0.118 [2 per cell]
Ti2 0.058 0.499 0.320 [2 per cell]
Ti3 0.404 0.010 0.670 [2 per cell]
Ti4 0.462 0.499 0.882 [2 per cell]
Sb1 0.163 0.523 0.561 [2 per cell]
Sb2 0.230 0.961 0.926 [2 per cell]
Sb3 0.297 0.445 0.145 [2 per cell]
Sb4 0.345 0.914 0.399 [2 per cell]
O1 0.020 0.824 0.993 [2 per cell]
O2 0.047 0.767 0.211 [2 per cell]
O3 0.105 0.755 0.426 [2 per cell]
O4 0.106 0.274 0.215 [2 per cell]
O5 0.115 0.295 0.435 [2 per cell]
O6 0.177 0.972 0.691 [2 per cell]
O7 0.222 0.585 0.885 [2 per cell]
O8 0.274 0.069 0.087 [2 per cell]
O9 0.335 0.578 0.319 [2 per cell]
O10 0.385 0.789 0.553 [2 per cell]
O11 0.389 0.290 0.589 [2 per cell]
O12 0.443 0.242 0.802 [2 per cell]
O13 0.480 0.842 0.985 [2 per cell]
O14 0.496 0.760 0.778 [2 per cell]

Output
Total magnetic moment = 0.00 μB per atom
Energy = -348.08 eV per cell
Energy relative to the elements, uncorrected = -24.5 eV/f.u.